Record 1
An optimized crystal structure of CdCuOs2, computed with PBEsol.

Computed properties:
* energy relative to the elements: 0.33 eV per atom
* total DFT energy (no corrections): -7.162 eV per atom
* total magnetic moment: 0.000 μB/f.u.
* D(E_F): 1.550 states/eV/f.u.

Cell: 2.772 3.719 5.739 Å, 90.00 90.00 90.00°
Element x y z (fractional)
Cu  0.500  0.500  0.757
Cd  0.000  0.000  0.520
Os  0.500  0.500  0.207
Os  0.000  0.000  0.016

***

Record 2
An optimized crystal structure of K2SiO, computed with PBEsol.

Computed properties:
* raw formation energy: 392 meV/atom
* total DFT energy (no corrections): -2.924 eV per atom
* total magnetic moment: 2.015 μB/f.u.
* D(E_F): 3.501 states/eV/f.u.

Cell: 5.163 5.163 5.163 Å, 60.00 60.00 60.00°
Element x y z (fractional)
O  0.000  0.000  0.000
Si  0.500  0.500  0.500
K  0.250  0.250  0.250
K  0.750  0.750  0.750

***

Record 3
An optimized crystal structure of ScTi2CoGe, computed with PBEsol.

Computed properties:
* energy relative to the elements: 1.36 eV per atom
* total DFT energy (no corrections): -5.827 eV per atom
* total magnetic moment: 1.539 μB/f.u.
* D(E_F): 7.006 states/eV/f.u.

Cell: 4.430 4.430 4.831 Å, 90.00 90.00 90.00°
Element x y z (fractional)
Co  0.500  0.500  0.500
Sc  0.000  0.000  0.000
Ti  0.500  0.000  0.000
Ti  0.000  0.500  0.000
Ge  0.000  0.000  0.500

***

Record 4
An optimized crystal structure of ScAgTe2, computed with PBEsol.

Computed properties:
* raw formation energy: -631 meV/atom
* total DFT energy (no corrections): -4.873 eV per atom
* total magnetic moment: 0.000 μB/f.u.
* D(E_F): 0.904 states/eV/f.u.

Cell: 3.855 3.973 7.191 Å, 106.03 105.55 90.00°
Element x y z (fractional)
Sc  0.306  0.806  0.611
Ag  0.503  0.503  0.006
Te  0.721  0.221  0.443
Te  0.970  0.970  0.940

***

Record 5
An optimized crystal structure of Nb3AsC, computed with PBEsol.

Computed properties:
* energy relative to the elements: -0.08 eV per atom
* total DFT energy (no corrections): -9.522 eV per atom
* total magnetic moment: 0.000 μB/f.u.
* D(E_F): 6.547 states/eV/f.u.

Cell: 4.255 4.255 4.255 Å, 90.00 90.00 90.00°
Element x y z (fractional)
C  0.000  0.000  0.000
Nb  0.000  0.000  0.500
Nb  0.500  0.000  0.000
Nb  0.000  0.500  0.000
As  0.500  0.500  0.500

***

Record 6
An optimized crystal structure of MnBiPPt2, computed with PBEsol.

Computed properties:
* energy relative to the elements: 1.12 eV per atom
* total DFT energy (no corrections): -5.633 eV per atom
* total magnetic moment: 0.003 μB/f.u.
* D(E_F): 5.596 states/eV/f.u.

Cell: 4.504 4.504 4.965 Å, 90.00 90.00 90.00°
Element x y z (fractional)
Mn  0.000  0.000  0.000
Pt  0.000  0.500  0.000
Pt  0.500  0.000  0.000
Bi  0.000  0.000  0.500
P  0.500  0.500  0.500

***

Record 7
An optimized crystal structure of TaOsSe2, computed with PBEsol.

Computed properties:
* raw formation energy: 339 meV/atom
* total DFT energy (no corrections): -7.778 eV per atom
* total magnetic moment: 0.000 μB/f.u.
* D(E_F): 1.599 states/eV/f.u.
* ΔE to the lowest computed polymorph: 372 meV/atom

Cell: 3.960 3.960 4.980 Å, 113.43 113.43 90.00°
Element x y z (fractional)
Se  0.750  0.250  0.500
Se  0.000  0.000  0.000
Ta  0.500  0.500  0.000
Os  0.250  0.750  0.500

***

Record 8
An optimized crystal structure of Cr2SiAu, computed with PBEsol.

Computed properties:
* raw formation energy: 166 meV/atom
* total DFT energy (no corrections): -7.373 eV per atom
* total magnetic moment: 1.284 μB/f.u.
* D(E_F): 3.905 states/eV/f.u.

Cell: 3.206 3.993 4.781 Å, 114.68 109.59 90.00°
Element x y z (fractional)
Cr  0.234  0.234  0.468
Cr  0.766  0.766  0.532
Si  0.500  0.000  0.000
Au  0.000  0.500  0.000